CsRhS2: relaxed, PBE-GGA.

N(E_F): 11.18 states/eV per cell
uncorrected formation energy: -2.39 eV/f.u.
final energy: -4.711 eV/atom

a = 7.003 Å, b = 3.551 Å, c = 17.589 Å
α = 90.00°, β = 90.00°, γ = 90.00°
Fractional positions:
1 Cs 0.051 0.250 0.151
2 Cs 0.449 0.750 0.651
3 Cs 0.551 0.250 0.349
4 Cs 0.949 0.750 0.849
5 Rh 0.074 0.750 0.439
6 Rh 0.426 0.250 0.939
7 Rh 0.574 0.750 0.061
8 Rh 0.926 0.250 0.561
9 S 0.048 0.250 0.349
10 S 0.232 0.250 0.504
11 S 0.268 0.750 0.004
12 S 0.452 0.750 0.849
13 S 0.548 0.250 0.151
14 S 0.732 0.250 0.996
15 S 0.768 0.750 0.496
16 S 0.952 0.750 0.651


CsRhS3: relaxed, PBE-GGA.

N(E_F): 6.14 states/eV per cell
uncorrected formation energy: 9.29 eV/f.u.
final energy: -2.259 eV/atom

a = 5.399 Å, b = 5.399 Å, c = 5.399 Å
α = 90.00°, β = 90.00°, γ = 90.00°
Fractional positions:
1 Cs 0.000 0.000 0.000
2 Rh 0.500 0.500 0.500
3 S 0.000 0.000 0.500
4 S 0.000 0.500 0.000
5 S 0.500 0.000 0.000


CsRh5S8: relaxed, PBE-GGA.

uncorrected formation energy: -7.56 eV/f.u.
final energy: -5.585 eV/atom

a = 9.344 Å, b = 9.344 Å, c = 8.694 Å
α = 105.72°, β = 105.72°, γ = 21.98°
Fractional positions:
1 Cs 0.000 0.000 0.000
2 Rh 0.160 0.160 0.471
3 Rh 0.202 0.202 0.828
4 Rh 0.500 0.500 0.500
5 Rh 0.798 0.798 0.172
6 Rh 0.840 0.840 0.529
7 S 0.078 0.078 0.632
8 S 0.262 0.262 0.346
9 S 0.322 0.322 0.017
10 S 0.412 0.412 0.663
11 S 0.588 0.588 0.337
12 S 0.678 0.678 0.983
13 S 0.738 0.738 0.654
14 S 0.922 0.922 0.368


> Among the records above, which one has the highest final energy?

CsRhS3


What did the second record say?
CsRhS3: relaxed, PBE-GGA.

N(E_F): 6.14 states/eV per cell
uncorrected formation energy: 9.29 eV/f.u.
final energy: -2.259 eV/atom

a = 5.399 Å, b = 5.399 Å, c = 5.399 Å
α = 90.00°, β = 90.00°, γ = 90.00°
Fractional positions:
1 Cs 0.000 0.000 0.000
2 Rh 0.500 0.500 0.500
3 S 0.000 0.000 0.500
4 S 0.000 0.500 0.000
5 S 0.500 0.000 0.000


> What is the uncorrected formation energy in the third record?

-7.56 eV/f.u.


> Which formula does entry 2 have?

CsRhS3